Crystalline Li2LaPd3 at its relaxed geometry. Source: Alexandria via LeMat-Bulk, functional PBE.

Properties
Energy relative to the elements   -11.7 kcal/mol of atoms

Cell: 9.875 8.897 5.248 Å, 90.00 90.00 90.00°
Space group Cmcm (No. 63)
Unique sites:
Li 0.226 0.000 0.000 x8
La 0.000 0.279 0.250 x4
Pd 0.000 0.047 0.750 x4
Pd 0.196 0.262 0.750 x8

---

Crystalline SmTmHfN3 at its relaxed geometry. Source: Alexandria via LeMat-Bulk, functional PBE.

Properties
E_form (uncorrected)   -1528.2 meV/atom

Cell: 5.741 3.374 8.847 Å, 90.00 101.74 90.00°
Space group P2_1/m (No. 11)
Unique sites:
Sm 0.157 0.250 0.197 x2
Tm 0.355 0.250 0.858 x2
Hf 0.265 0.750 0.541 x2
N 0.048 0.250 0.645 x2
N 0.252 0.750 0.001 x2
N 0.467 0.750 0.359 x2

---

Crystalline SrNb2Ir at its relaxed geometry. Source: Alexandria via LeMat-Bulk, functional PBE.

Properties
Energy relative to the elements   12.0 kcal/mol of atoms
E above lowest polymorph   0.00 eV/f.u.

Cell: 6.715 6.715 6.715 Å, 90.00 90.00 90.00°
Space group Fm-3m (No. 225)
Unique sites:
Sr 0.000 0.000 0.000 x4
Nb 0.250 0.250 0.250 x8
Ir 0.000 0.000 0.500 x4

---

no.,electronic total energy (eV/atom)
1,-4.56
2,-8.88
3,-7.15